{"formula": "MgCdFeSe3", "functional": "PBE", "state": "relaxed", "space_group": "Cmcm (63)", "rho_g_cm3": 5.41, "de_polymorph_mev_per_atom": 113, "lattice": [[1.855, -6.710, 0.000], [1.855, 6.710, 0.000], [0.000, 0.000, 10.597]], "species": ["Mg", "Mg", "Cd", "Cd", "Fe", "Fe", "Se", "Se", "Se", "Se", "Se", "Se"], "fractional_positions": [[0.212, 0.788, 0.750], [0.788, 0.212, 0.250], [0.495, 0.505, 0.750], [0.505, 0.495, 0.250], [0.000, 0.000, 0.000], [0.000, 0.000, 0.500], [0.143, 0.857, 0.250], [0.374, 0.626, 0.064], [0.374, 0.626, 0.436], [0.626, 0.374, 0.564], [0.626, 0.374, 0.936], [0.857, 0.143, 0.750]]}